NaRhF2: relaxed, PBE.

Summary:
- Formation energy (no corrections): -1.06 eV per atom
- Energy above the most stable polymorph in this dataset: 575 meV/atom
- Density: 3.7 g/cm3

a b c (Å): 3.8168 3.8168 17.3189
angles (deg): 90.00 90.00 120.00
Space group R-3m (No. 166, hexagonal axes)
Unique sites:
Na 0.0000 0.0000 0.0000 x3
Rh 0.0000 0.0000 0.5000 x3
F 0.0000 0.0000 0.1204 x6


VSiPS2: relaxed, PBE.

Summary:
- Formation energy (no corrections): 0.34 eV per atom
- Energy above the most stable polymorph in this dataset: 0 meV/atom
- Density: 3.0 g/cm3

a b c (Å): 4.4063 4.4063 4.9475
angles (deg): 90.00 90.00 90.00
Space group P4/mmm (No. 123)
Unique sites:
V 0.0000 0.0000 0.0000 x1
Si 0.5000 0.5000 0.5000 x1
P 0.0000 0.0000 0.5000 x1
S 0.0000 0.5000 0.0000 x2


RhW2C2: relaxed, PBE.

Summary:
- Energy above the most stable polymorph in this dataset: 161 meV/atom
- Density: 14.8 g/cm3
- ΔH_f (0 K): 2.56 eV per formula unit

a b c (Å): 6.2029 6.2029 2.8769
angles (deg): 90.00 90.00 90.00
Space group P4/mbm (No. 127)
Unique sites:
Rh 0.0000 0.0000 0.0000 x2
W 0.1464 0.3536 0.5000 x4
C 0.1523 0.6523 0.0000 x4


TlTeCl2: relaxed, PBE.

Summary:
- Formation energy (no corrections): -0.33 eV per atom
- Energy above the most stable polymorph in this dataset: 132 meV/atom
- Density: 5.1 g/cm3

a b c (Å): 3.5482 6.5925 5.5747
angles (deg): 90.00 90.00 90.00
Space group Pmm2 (No. 25)
Unique sites:
Tl 0.0000 0.0000 0.0000 x1
Te 0.5000 0.5000 0.0234 x1
Cl 0.0000 0.0000 0.4967 x1
Cl 0.5000 0.5000 0.6018 x1


AlRhN2: relaxed, PBE.

Summary:
- Formation energy (no corrections): -0.19 eV per atom
- Density: 5.7 g/cm3

a b c (Å): 4.6276 4.6276 8.5990
angles (deg): 90.00 90.00 90.00
Space group I-42d (No. 122)
Unique sites:
Al 0.0000 0.0000 0.0000 x4
Rh 0.0000 0.0000 0.5000 x4
N 0.2204 0.2500 0.1250 x8


BeTe3Pb: relaxed, PBE.

Summary:
- Formation energy (no corrections): 0.12 eV per atom
- Energy above the most stable polymorph in this dataset: 0 meV/atom
- Density: 7.4 g/cm3

a b c (Å): 5.1183 5.1183 5.1183
angles (deg): 90.00 90.00 90.00
Space group Pm-3m (No. 221)
Unique sites:
Be 0.0000 0.0000 0.0000 x1
Te 0.0000 0.0000 0.5000 x3
Pb 0.5000 0.5000 0.5000 x1


AcSmRhPb: relaxed, PBE.

Summary:
- Density: 10.0 g/cm3
- ΔH_f (0 K): -1.51 eV per formula unit

a b c (Å): 7.6916 7.6916 7.6916
angles (deg): 90.00 90.00 90.00
Space group F-43m (No. 216)
Unique sites:
Ac 0.0000 0.0000 0.0000 x4
Sm 0.0000 0.0000 0.5000 x4
Rh 0.2500 0.2500 0.2500 x4
Pb 0.2500 0.2500 0.7500 x4


Pa2SbPt: relaxed, PBE.

Summary:
- Formation energy (no corrections): -0.57 eV per atom
- Energy above the most stable polymorph in this dataset: 74 meV/atom
- Density: 13.8 g/cm3

a b c (Å): 3.3800 3.3800 8.1868
angles (deg): 90.00 90.00 90.00
Space group P4/mmm (No. 123)
Unique sites:
Pa 0.0000 0.0000 0.2276 x2
Sb 0.5000 0.5000 0.5000 x1
Pt 0.5000 0.5000 0.0000 x1


TlCo2Ru: relaxed, PBE.

Summary:
- Energy above the most stable polymorph in this dataset: 17 meV/atom
- Density: 12.1 g/cm3
- ΔH_f (0 K): 1.94 eV per formula unit

a b c (Å): 2.8288 3.5284 5.8351
angles (deg): 90.00 90.00 90.00
Space group Pmmm (No. 47)
Unique sites:
Tl 0.0000 0.0000 0.0000 x1
Co 0.5000 0.5000 0.2905 x2
Ru 0.0000 0.0000 0.5000 x1


HoTh2Ir9: relaxed, PBE.

Summary:
- Density: 17.8 g/cm3
- ΔH_f (0 K): -7.47 eV per formula unit

a b c (Å): 5.3382 5.3382 26.7925
angles (deg): 90.00 90.00 120.00
Space group R-3m (No. 166, hexagonal axes)
Unique sites:
Ho 0.0000 0.0000 0.0000 x3
Th 0.0000 0.0000 0.1378 x6
Ir 0.0000 0.0000 0.3326 x6
Ir 0.0000 0.0000 0.5000 x3
Ir 0.0000 0.5000 0.0811 x18


LaHo2H: relaxed, PBE.

Summary:
- Energy above the most stable polymorph in this dataset: 228 meV/atom
- Density: 7.9 g/cm3

a b c (Å): 3.3617 3.3617 8.7121
angles (deg): 90.00 90.00 90.00
Space group P4/mmm (No. 123)
Unique sites:
La 0.0000 0.0000 0.0000 x1
Ho 0.5000 0.5000 0.3162 x2
H 0.0000 0.0000 0.5000 x1


SmDyAlGe: relaxed, PBE.

Summary:
- Density: 6.9 g/cm3
- ΔH_f (0 K): -2.74 eV per formula unit

a b c (Å): 4.0561 4.4227 11.0044
angles (deg): 90.00 90.00 90.00
Space group Amm2 (No. 38)
Unique sites:
Sm 0.0000 0.0000 0.0000 x2
Dy 0.5000 0.0000 0.2819 x2
Al 0.0000 0.0000 0.7157 x2
Ge 0.5000 0.0000 0.5648 x2